SrCoSeO | PBE+U | optimized geometry

Cell lengths 7.285, 3.546, 12.408 Å; angles 90.00, 90.00, 90.00 degrees
Space group Pnma (No. 62)
Unique sites:
Sr 0.049 0.250 0.220 [4 per cell]
Co 0.188 0.750 0.448 [4 per cell]
Se 0.160 0.250 0.609 [4 per cell]
O 0.236 0.750 0.874 [4 per cell]

Summary:
Calculated density = 5.01 g/cm3
V = 20.03 A^3/atom
Total energy = -0.18588 Ha/atom